Record 1
Entry from Alexandria: a PBEsol-optimized structure of SrSi2P2 (SCAN).

Values from the calculation:
crystal system = tetragonal
ΔE_f (raw) = -87 kJ/mol of formula units

Cell and atoms, written as CIF:
```
data_SrSi2P2
_chemical_formula_sum 'Sr2 Si4 P4'
_cell_length_a 4.533
_cell_length_b 4.533
_cell_length_c 9.914
_cell_angle_alpha 90.00
_cell_angle_beta 90.00
_cell_angle_gamma 90.00
_space_group_name_H-M_alt 'P 1'
_space_group_IT_number 1
_space_group_name_Hall 'P 1'
loop_
_atom_site_label
_atom_site_type_symbol
_atom_site_fract_x
_atom_site_fract_y
_atom_site_fract_z
Sr1 Sr 0.000 0.000 0.000
Sr2 Sr 0.500 0.500 0.500
Si1 Si 0.000 0.500 0.250
Si2 Si 0.000 0.500 0.750
Si3 Si 0.500 0.000 0.250
Si4 Si 0.500 0.000 0.750
P1 P 0.000 0.000 0.326
P2 P 0.000 0.000 0.674
P3 P 0.500 0.500 0.174
P4 P 0.500 0.500 0.826
```



Record 2
Entry from Alexandria: a PBEsol-optimized structure of Sr4SiP4 (SCAN).

Values from the calculation:
crystal system = cubic
ΔE_f (raw) = -1037 kJ/mol of formula units

Cell and atoms, written as CIF:
```
data_Sr4SiP4
_chemical_formula_sum 'Sr32 Si8 P32'
_cell_length_a 12.332
_cell_length_b 12.332
_cell_length_c 12.332
_cell_angle_alpha 90.00
_cell_angle_beta 90.00
_cell_angle_gamma 90.00
_space_group_name_H-M_alt 'P 1'
_space_group_IT_number 1
_space_group_name_Hall 'P 1'
loop_
_atom_site_label
_atom_site_type_symbol
_atom_site_fract_x
_atom_site_fract_y
_atom_site_fract_z
Sr1 Sr 0.095 0.133 0.355
Sr2 Sr 0.095 0.867 0.645
Sr3 Sr 0.133 0.355 0.095
Sr4 Sr 0.133 0.645 0.905
Sr5 Sr 0.145 0.367 0.595
Sr6 Sr 0.145 0.633 0.405
Sr7 Sr 0.146 0.146 0.854
Sr8 Sr 0.146 0.854 0.146
Sr9 Sr 0.354 0.354 0.354
Sr10 Sr 0.354 0.646 0.646
Sr11 Sr 0.355 0.095 0.133
Sr12 Sr 0.355 0.905 0.867
Sr13 Sr 0.367 0.405 0.855
Sr14 Sr 0.367 0.595 0.145
Sr15 Sr 0.405 0.145 0.633
Sr16 Sr 0.405 0.855 0.367
Sr17 Sr 0.595 0.145 0.367
Sr18 Sr 0.595 0.855 0.633
Sr19 Sr 0.633 0.405 0.145
Sr20 Sr 0.633 0.595 0.855
Sr21 Sr 0.645 0.095 0.867
Sr22 Sr 0.645 0.905 0.133
Sr23 Sr 0.646 0.354 0.646
Sr24 Sr 0.646 0.646 0.354
Sr25 Sr 0.854 0.146 0.146
Sr26 Sr 0.854 0.854 0.854
Sr27 Sr 0.855 0.367 0.405
Sr28 Sr 0.855 0.633 0.595
Sr29 Sr 0.867 0.355 0.905
Sr30 Sr 0.867 0.645 0.095
Sr31 Sr 0.905 0.133 0.645
Sr32 Sr 0.905 0.867 0.355
Si1 Si 0.000 0.000 0.000
Si2 Si 0.000 0.500 0.250
Si3 Si 0.000 0.500 0.750
Si4 Si 0.250 0.000 0.500
Si5 Si 0.500 0.250 0.000
Si6 Si 0.500 0.500 0.500
Si7 Si 0.500 0.750 0.000
Si8 Si 0.750 0.000 0.500
P1 P 0.105 0.385 0.350
P2 P 0.105 0.615 0.650
P3 P 0.106 0.106 0.106
P4 P 0.106 0.894 0.894
P5 P 0.115 0.395 0.850
P6 P 0.115 0.605 0.150
P7 P 0.150 0.115 0.605
P8 P 0.150 0.885 0.395
P9 P 0.350 0.105 0.385
P10 P 0.350 0.895 0.615
P11 P 0.385 0.350 0.105
P12 P 0.385 0.650 0.895
P13 P 0.394 0.394 0.606
P14 P 0.394 0.606 0.394
P15 P 0.395 0.150 0.885
P16 P 0.395 0.850 0.115
P17 P 0.605 0.150 0.115
P18 P 0.605 0.850 0.885
P19 P 0.606 0.394 0.394
P20 P 0.606 0.606 0.606
P21 P 0.615 0.350 0.895
P22 P 0.615 0.650 0.105
P23 P 0.650 0.105 0.615
P24 P 0.650 0.895 0.385
P25 P 0.850 0.115 0.395
P26 P 0.850 0.885 0.605
P27 P 0.885 0.395 0.150
P28 P 0.885 0.605 0.850
P29 P 0.894 0.106 0.894
P30 P 0.894 0.894 0.106
P31 P 0.895 0.385 0.650
P32 P 0.895 0.615 0.350
```



Look up the ΔE_f (raw) of the first one.
-87 kJ/mol of formula units



What is the formula in the second record?
Sr4SiP4



Which of these has the lowest ΔE_f (raw)?
Sr4SiP4



Which value of ΔE_f (raw) does entry 1 give?
-87 kJ/mol of formula units